(1)
BaTeS4O8 (PBE, optimized geometry); crystal system = monoclinic; E = -5.3592 eV per atom; formation energy (no corrections) = -0.98 eV/atom
1.0
5.542 11.273 -0.071
-5.542 11.273 -0.071
0.000 0.143 4.955
O S Te Ba
16 8 2 2
Cartesian
0.000 6.606 1.683
-3.207 15.674 2.636
3.871 14.336 0.689
-3.871 14.336 0.689
0.000 20.266 2.371
3.871 8.353 4.124
-1.761 7.128 4.166
-3.207 7.015 2.177
3.207 7.015 2.177
-1.761 15.561 0.647
3.207 15.674 2.636
1.761 7.128 4.166
0.000 16.083 3.131
0.000 2.423 2.442
-3.871 8.353 4.124
1.761 15.561 0.647
-1.793 9.501 2.518
2.766 14.891 1.492
2.766 7.798 3.322
1.793 9.501 2.518
1.793 13.188 2.295
-2.766 7.798 3.322
-1.793 13.188 2.295
-2.766 14.891 1.492
0.000 8.361 1.143
0.000 14.329 3.670
0.000 4.920 4.020
0.000 17.770 0.794

=====

(2)
CsLi2PuCl6 (PBE, optimized geometry); Fermi-level density of states = 10.411 states/eV/f.u.; crystal system = triclinic; E = -4.9075 eV per atom; formation energy (no corrections) = -1.90 eV/atom
1.0
-5.035 0.119 4.503
-6.390 -0.715 -2.063
-3.195 -8.425 1.727
Cl Li Pu Cs
6 2 1 1
Cartesian
-5.347 -7.671 0.886
-9.164 -2.209 3.266
-5.402 -1.999 2.562
-9.272 -7.876 1.713
-7.867 -2.510 -0.328
-6.620 -7.342 4.684
-7.576 -0.947 1.689
-11.404 -0.892 2.472
-3.777 -0.623 0.861
-11.085 -5.133 2.944

=====

(3)
YTlSb2 (PBE, optimized geometry); Fermi-level density of states = 2.492 states/eV/f.u.; crystal system = trigonal; E above lowest polymorph = 0.1688 eV/atom; E = -4.5947 eV per atom; formation energy (no corrections) = -0.33 eV/atom
1.0
8.396 0.031 0.019
7.295 4.158 0.019
7.295 1.947 3.674
Tl Sb Y
1 2 1
Cartesian
5.746 1.534 0.928
0.110 0.029 0.018
11.383 3.038 1.838
17.239 4.602 2.783

=====

(4)
Sm3AgPt (PBE, optimized geometry); Fermi-level density of states = 5.309 states/eV/f.u.; formation enthalpy at 0 K = -0.540 eV/atom; crystal system = monoclinic; E = -5.1502 eV per atom
1.0
5.623 -0.306 2.320
1.785 5.341 2.320
0.059 0.040 8.901
Sm Pt Ag
6 2 2
Cartesian
7.129 4.845 6.692
0.338 0.230 6.849
5.122 3.481 4.297
2.188 1.487 4.154
5.278 3.587 9.388
2.345 1.594 9.245
2.877 3.735 2.320
4.531 1.300 2.320
4.521 1.378 6.771
2.946 3.696 6.771